(1)
LiLaGe2Pt | Alexandria | PBE-GGA | optimized geometry; crystal system = tetragonal; E_form = -0.849 eV/atom
1.0
-0.383 4.116 1.094
-4.235 -0.483 0.337
2.866 -3.127 4.408
Ge La Li Pt
2 1 1 1
direct
0.619 0.619 0.238
0.381 0.381 0.762
0.000 0.000 0.000
0.750 0.250 0.500
0.250 0.750 0.500

=====

(2)
Na6SBr2O | Alexandria | PBE-GGA | optimized geometry; E_form (uncorrected) = -1.272 eV per atom; crystal system = orthorhombic
1.0
-3.045 -6.047 -0.703
2.589 -0.523 -6.722
8.043 -4.450 3.444
Na Br O S
12 4 2 2
direct
0.750 0.563 0.000
0.500 0.217 0.267
0.000 0.783 0.767
0.000 0.783 0.233
0.250 0.563 0.000
0.500 0.217 0.733
0.250 0.437 0.500
0.236 0.005 0.000
0.264 0.995 0.500
0.750 0.437 0.500
0.764 0.005 0.000
0.736 0.995 0.500
0.500 0.791 0.771
0.500 0.791 0.229
0.000 0.209 0.729
0.000 0.209 0.271
0.500 0.227 0.500
0.000 0.773 0.000
0.500 0.282 0.000
0.000 0.718 0.500

=====

(3)
HoMn3Tc3 | Alexandria | PBE-GGA | optimized geometry; crystal system = cubic; E_form = 0.745 eV/atom
1.0
6.410 0.000 0.000
0.000 6.410 0.000
0.000 0.000 6.410
Mn Tc Ho
6 6 2
direct
0.500 0.000 0.250
0.250 0.500 0.000
0.750 0.500 0.000
0.000 0.750 0.500
0.000 0.250 0.500
0.500 0.000 0.750
0.500 0.250 0.000
0.000 0.500 0.750
0.000 0.500 0.250
0.750 0.000 0.500
0.500 0.750 0.000
0.250 0.000 0.500
0.500 0.500 0.500
0.000 0.000 0.000

=====

(4)
Cu2ReP | Alexandria | PBE-GGA | optimized geometry; crystal system = orthorhombic; E_form = 0.355 eV/atom
1.0
2.748 0.005 0.000
-1.155 2.493 0.000
0.000 0.000 8.027
P Cu Re
1 2 1
direct
0.000 0.000 0.504
0.500 0.500 0.255
0.000 0.000 0.009
0.500 0.500 0.732

=====

(5)
MgCdNi2 | Alexandria | PBE-GGA | optimized geometry; crystal system = orthorhombic; E_form = -0.021 eV/atom
1.0
-1.164 2.720 -4.310
-4.741 2.166 -0.404
4.439 -0.268 2.749
Mg Ni Cd
1 2 1
direct
0.235 0.735 0.500
0.768 0.268 0.500
0.982 0.982 0.000
0.514 0.514 0.000

=====

(6)
Zr2ScB | Alexandria | PBE-GGA | optimized geometry; crystal system = tetragonal; E_form = 0.142 eV/atom
1.0
7.615 0.000 0.000
0.000 7.615 0.000
3.808 3.808 2.653
Sc B Zr
2 2 4
direct
0.000 0.000 0.000
0.750 0.250 0.500
0.500 0.500 0.000
0.250 0.750 0.500
0.550 0.125 0.250
0.375 0.450 0.750
0.875 0.800 0.750
0.200 0.625 0.250

=====

(7)
YZnNiHg | Alexandria | PBE-GGA | optimized geometry; crystal system = cubic; E_form = -0.218 eV/atom
1.0
4.716 0.000 0.000
2.358 4.084 0.000
2.358 1.361 3.851
Ni Y Zn Hg
1 1 1 1
direct
0.250 0.250 0.250
0.000 0.000 0.000
0.750 0.750 0.750
0.500 0.500 0.500

=====

(8)
Be2InSb | Alexandria | PBE-GGA | optimized geometry; E_form (uncorrected) = 0.554 eV per atom; E above lowest polymorph = 0.286 eV per atom; crystal system = tetragonal
1.0
-1.252 5.986 1.285
-6.119 -1.267 -0.061
-3.535 1.414 5.162
Be Sb In
4 2 2
direct
0.095 0.625 0.250
0.875 0.905 0.750
0.375 0.345 0.750
0.655 0.125 0.250
0.750 0.250 0.500
0.000 0.000 0.000
0.500 0.500 0.000
0.250 0.750 0.500

=====

(9)
Rb3Br2 | Alexandria | PBE-GGA | optimized geometry; E_form (uncorrected) = -1.312 eV per atom; crystal system = trigonal
1.0
-5.625 -1.977 -6.126
-7.511 -3.518 2.069
-7.785 5.826 -0.697
Br Rb
4 6
direct
0.662 0.662 0.013
0.338 0.338 0.987
0.838 0.838 0.487
0.162 0.162 0.513
0.926 0.250 0.250
0.574 0.926 0.250
0.750 0.426 0.750
0.074 0.750 0.750
0.250 0.574 0.250
0.426 0.074 0.750

=====

(10)
YMn2Ru | Alexandria | PBE-GGA | optimized geometry; E above lowest polymorph = 0.396 eV per atom; crystal system = cubic; E_form = 0.483 eV/atom
1.0
0.000 3.108 3.108
3.108 0.000 3.108
3.108 3.108 0.000
Mn Y Ru
2 1 1
direct
0.250 0.250 0.250
0.750 0.750 0.750
0.000 0.000 0.000
0.500 0.500 0.500

=====

(11)
Tb2CeRuN4 | Alexandria | PBE-GGA | optimized geometry; E_form (uncorrected) = -1.051 eV per atom; crystal system = orthorhombic
1.0
3.410 0.000 0.000
-1.705 5.834 0.000
0.000 0.000 11.592
N Tb Ce Ru
8 4 2 2
direct
0.000 0.000 0.000
0.273 0.545 0.368
0.000 0.000 0.500
0.727 0.455 0.632
0.454 0.909 0.750
0.273 0.545 0.132
0.546 0.091 0.250
0.727 0.455 0.868
0.630 0.261 0.454
0.630 0.261 0.046
0.370 0.739 0.546
0.370 0.739 0.954
0.885 0.771 0.250
0.115 0.229 0.750
0.855 0.711 0.750
0.145 0.289 0.250

=====

(12)
Cs2ZrAs2 | Alexandria | PBE-GGA | optimized geometry; crystal system = orthorhombic; E_form = -0.700 eV/atom
1.0
6.469 0.000 2.761
1.803 7.527 4.735
-0.025 1.003 9.018
As Zr Cs
4 2 4
direct
0.594 0.231 0.580
0.406 0.769 0.420
0.094 0.580 0.231
0.906 0.420 0.769
0.250 0.500 0.500
0.750 0.500 0.500
0.347 0.297 0.010
0.653 0.703 0.990
0.847 0.010 0.297
0.153 0.990 0.703

=====

| no. | ρ (kg/m3) | E_tot (eV per atom) |
| --- | --- | --- |
| 1 | 8302 | -5.272 |
| 2 | 2380 | -3.306 |
| 3 | 7866 | -8.281 |
| 4 | 10387 | -6.158 |
| 5 | 7066 | -3.539 |
| 6 | 5142 | -7.385 |
| 7 | 9261 | -3.673 |
| 8 | 4657 | -3.024 |
| 9 | 2598 | -2.562 |
| 10 | 8290 | -8.037 |
| 11 | 8857 | -8.273 |
| 12 | 4067 | -4.611 |